Entry from Alexandria via LeMat-Bulk: a geometry-optimized SbBr3 structure (PBE).

Lattice parameters (Å, degrees): 3.703 5.390 14.560 90.00 90.00 90.00
Space group Immm (No. 71)
Symmetry-distinct sites (fractional):
Sb 0.000 0.000 0.000 (multiplicity 2)
Br 0.000 0.000 0.500 (multiplicity 2)
Br 0.000 0.500 0.350 (multiplicity 4)

---

Entry from Alexandria via LeMat-Bulk: a geometry-optimized SbBr2 structure (PBE).

Lattice parameters (Å, degrees): 3.7583 3.7583 7.3457 90.00 90.00 120.00
Space group P-3m1 (No. 164)
Symmetry-distinct sites (fractional):
Sb 0.0000 0.0000 0.0000 (multiplicity 1)
Br 0.3333 0.6667 0.2916 (multiplicity 2)

Computed properties:
energy above the most stable polymorph in this dataset: 354.0 meV per atom

---

Entry from Alexandria via LeMat-Bulk: a geometry-optimized SbBr3 structure (PBE).

Lattice parameters (Å, degrees): 9.489 20.576 7.185 90.00 90.00 90.00
Space group Pmmn (No. 59, origin choice 2)
Symmetry-distinct sites (fractional):
Sb 0.250 0.149 0.035 (multiplicity 4)
Sb 0.250 0.750 0.743 (multiplicity 2)
Br 0.049 0.091 0.869 (multiplicity 8)
Br 0.050 0.250 0.256 (multiplicity 4)
Br 0.250 0.250 0.788 (multiplicity 2)
Br 0.250 0.656 0.518 (multiplicity 4)

---

Entry from Alexandria via LeMat-Bulk: a geometry-optimized SbBr3 structure (PBE).

Lattice parameters (Å, degrees): 4.773 4.773 4.590 90.00 90.00 90.00
Space group P4/mmm (No. 123)
Symmetry-distinct sites (fractional):
Sb 0.000 0.000 0.000 (multiplicity 1)
Br 0.000 0.500 0.500 (multiplicity 2)
Br 0.500 0.500 0.000 (multiplicity 1)

---

Entry from Alexandria via LeMat-Bulk: a geometry-optimized SbBr3 structure (PBE).

Lattice parameters (Å, degrees): 3.793 12.065 7.456 90.00 90.00 90.00
Space group Imm2 (No. 44)
Symmetry-distinct sites (fractional):
Sb 0.000 0.000 0.000 (multiplicity 2)
Br 0.000 0.346 0.644 (multiplicity 4)
Br 0.000 0.500 0.212 (multiplicity 2)

---

Entry from Alexandria via LeMat-Bulk: a geometry-optimized SbBr3 structure (PBE).

Lattice parameters (Å, degrees): 7.660 7.660 5.605 90.00 90.00 90.00
Space group P4/mbm (No. 127)
Symmetry-distinct sites (fractional):
Sb 0.000 0.000 0.000 (multiplicity 2)
Br 0.000 0.000 0.500 (multiplicity 2)
Br 0.179 0.321 0.000 (multiplicity 4)

---

Entry from Alexandria via LeMat-Bulk: a geometry-optimized SbBr3 structure (PBE).

Lattice parameters (Å, degrees): 4.4026 4.4026 22.3090 90.00 90.00 120.00
Space group R-3m (No. 166, hexagonal axes)
Symmetry-distinct sites (fractional):
Sb 0.0000 0.0000 0.0000 (multiplicity 3)
Br 0.0000 0.0000 0.2662 (multiplicity 6)
Br 0.0000 0.0000 0.5000 (multiplicity 3)

---

Entry from Alexandria via LeMat-Bulk: a geometry-optimized SbBr structure (PBE).

Lattice parameters (Å, degrees): 9.419 9.419 9.419 90.00 90.00 90.00
Space group I-43m (No. 217)
Symmetry-distinct sites (fractional):
Sb 0.113 0.113 0.887 (multiplicity 8)
Br 0.219 0.219 0.219 (multiplicity 8)

Computed properties:
energy above the most stable polymorph in this dataset: 352.8 meV per atom

---

Entry from Alexandria via LeMat-Bulk: a geometry-optimized SbBr3 structure (PBE).

Lattice parameters (Å, degrees): 4.0907 4.0907 8.4193 90.00 90.00 120.00
Space group P-6m2 (No. 187)
Symmetry-distinct sites (fractional):
Sb 0.0000 0.0000 0.0000 (multiplicity 1)
Br 0.0000 0.0000 0.5000 (multiplicity 1)
Br 0.3333 0.6667 0.2167 (multiplicity 2)

---

Entry from Alexandria via LeMat-Bulk: a geometry-optimized Sb3Br structure (PBE).

Lattice parameters (Å, degrees): 8.9398 8.9398 5.2938 90.00 90.00 120.00
Space group R-3m (No. 166, hexagonal axes)
Symmetry-distinct sites (fractional):
Sb 0.0000 0.5000 0.0000 (multiplicity 9)
Br 0.0000 0.0000 0.0000 (multiplicity 3)

Computed properties:
energy above the most stable polymorph in this dataset: 153.0 meV per atom

---

Entry from Alexandria via LeMat-Bulk: a geometry-optimized Sb3Br structure (PBE).

Lattice parameters (Å, degrees): 7.551 7.551 7.551 90.00 90.00 90.00
Space group Fm-3m (No. 225)
Symmetry-distinct sites (fractional):
Sb 0.000 0.000 0.000 (multiplicity 4)
Sb 0.250 0.250 0.250 (multiplicity 8)
Br 0.000 0.000 0.500 (multiplicity 4)

Computed properties:
energy above the most stable polymorph in this dataset: 157.2 meV per atom

---

Entry from Alexandria via LeMat-Bulk: a geometry-optimized SbBr structure (PBE).

Lattice parameters (Å, degrees): 9.921 9.921 3.278 90.00 90.00 90.00
Space group P4_2/mnm (No. 136)
Symmetry-distinct sites (fractional):
Sb 0.160 0.160 0.000 (multiplicity 4)
Br 0.129 0.871 0.000 (multiplicity 4)

Computed properties:
energy above the most stable polymorph in this dataset: 495.8 meV per atom

---

| no. | uncorrected formation energy (eV per atom) |
| --- | --- |
| 1 | -0.3251 |
| 2 | -0.1028 |
| 3 | -0.5379 |
| 4 | 0.2157 |
| 5 | -0.5256 |
| 6 | -0.5045 |
| 7 | -0.1323 |
| 8 | 0.0381 |
| 9 | -0.0053 |
| 10 | 0.1650 |
| 11 | 0.1692 |
| 12 | 0.1810 |